First-principles (PBE-GGA) data for crystalline NaVRu at its relaxed geometry, as listed in Alexandria via LeMat-Bulk. Values from VASP.

Cell and atoms, written as Quantum ESPRESSO input:
```
&SYSTEM
  ibrav = 0, nat = 6, ntyp = 3
/
ATOMIC_SPECIES
Na 22.99 Na.upf
V 50.94 V.upf
Ru 101.07 Ru.upf
ATOMIC_POSITIONS crystal
Na 0.250 0.250 0.135
Na 0.750 0.750 0.865
V 0.250 0.250 0.434
V 0.750 0.750 0.566
Ru 0.250 0.250 0.673
Ru 0.750 0.750 0.327
CELL_PARAMETERS angstrom
3.008 0.000 0.000
0.000 3.008 0.000
0.000 0.000 12.053
```

Summary:
calculated formation energy	42	meV per atom
N(E_F)	4.99	states/eV per cell
raw total energy	-6.53	eV per atom